Tm2Tl3CuTe6 (PBE-GGA, relaxed); symmetry = C2/m (12); energy relative to the elements, uncorrected = -636 meV/atom
1.0
7.5128 0.0495 -0.0628
-3.7117 6.5321 -0.0628
-1.3330 -2.3081 7.8984
Tm Tl Cu Te
2 3 1 6
Cartesian
0.1000 4.3307 -0.0628 Tm
3.7011 2.2509 -0.0628 Tm
-2.3053 4.1809 3.8864 Tl
4.7734 0.0927 3.8864 Tl
1.2341 2.1368 3.8864 Tl
0.0000 0.0000 0.0000 Cu
3.6309 2.3038 6.2696 Te
2.5127 4.3508 1.7658 Te
-1.1628 1.9697 1.5032 Te
0.1809 4.2963 6.2696 Te
-0.0446 -0.0772 6.0070 Te
2.2872 -0.0228 1.5032 Te

Ti2TcOs (PBE-GGA, relaxed); symmetry = I-42d (122); calculated formation energy = 0.196 eV per atom; offset from the most stable computed form = 824 meV/atom
1.0
-0.2532 -1.6751 6.6885
-4.3962 -5.1169 -1.4479
-0.2457 -5.0848 2.2760
Os Tc Ti
2 2 4
Cartesian
0.0000 0.0000 0.0000 Os
-1.4118 -5.0779 5.7924 Os
-2.3247 -3.3960 2.6203 Tc
-3.4833 -6.7988 1.7242 Tc
-0.7698 -2.9621 4.5858 Ti
-2.8401 -4.6743 0.4827 Ti
-1.9163 -6.3472 3.6760 Ti
-4.2640 -9.7699 6.2888 Ti

Ba2VMoCl (PBE-GGA, relaxed); symmetry = P4/mmm (123); offset from the most stable computed form = 0 meV/atom; energy relative to the elements, uncorrected = 882 meV/atom
1.0
6.5429 0.0000 0.0000
0.0000 4.5385 0.0000
0.0000 0.0000 6.5429
Mo Cl Ba V
1 1 2 1
Cartesian
3.2714 2.2692 3.2714 Mo
0.0000 2.2692 0.0000 Cl
0.0000 0.0000 3.2714 Ba
3.2714 0.0000 0.0000 Ba
0.0000 0.0000 0.0000 V

AgAuCl3 (PBE-GGA, relaxed); symmetry = P-1 (2); offset from the most stable computed form = 4 meV/atom; energy relative to the elements, uncorrected = -265 meV/atom
1.0
8.1558 0.2570 0.3445
-4.0239 7.9772 -3.2092
-0.3827 -3.5211 5.9795
Ag Au Cl
2 2 6
Cartesian
3.9858 1.6521 1.1553 Ag
-0.2367 3.0610 1.9595 Ag
4.0848 4.9063 -0.9076 Au
-0.3357 -0.1932 4.0224 Au
-0.8247 7.2864 -1.8447 Cl
-1.2162 0.7580 2.1435 Cl
2.7851 2.3822 3.2353 Cl
0.9641 2.3308 -0.1205 Cl
4.5738 -2.5734 4.9595 Cl
4.9654 3.9550 0.9712 Cl

AlOs2AuS (PBE-GGA, relaxed); symmetry = P4/mmm (123); energy relative to the elements, uncorrected = 2241 meV/atom
1.0
-0.0470 -4.8057 -1.4413
-0.7855 -1.2878 4.3195
-4.9427 0.2918 -0.8118
Os S Au Al
2 1 1 1
Cartesian
-2.4713 0.1459 -0.4059 Os
-0.0235 -2.4029 -0.7206 Os
-0.3927 -0.6439 2.1598 S
0.0000 0.0000 0.0000 Au
-2.8876 -2.9009 1.0332 Al

Sb3PdPt12 (PBE-GGA, relaxed); symmetry = P4/mmm (123); energy relative to the elements, uncorrected = -162 meV/atom
1.0
-1.1078 -3.5995 1.4421
2.5884 -1.8032 -2.5125
11.7851 0.9608 11.4515
Sb Pd Pt
3 1 12
Cartesian
2.7412 0.2235 2.6636 Sb
5.8925 0.4804 5.7257 Sb
9.0439 0.7373 8.7879 Sb
0.0000 0.0000 0.0000 Pd
0.7403 -2.7014 -0.5352 Pt
3.7633 -2.4549 2.4023 Pt
6.6328 -2.2210 5.1906 Pt
9.5023 -1.9870 7.9789 Pt
0.8650 -1.6841 2.0998 Pt
3.8886 -1.4376 5.0378 Pt
6.7886 -1.2011 7.8558 Pt
9.8122 -0.9546 10.7938 Pt
2.7131 -0.7859 0.1226 Pt
5.7367 -0.5394 3.0606 Pt
8.6367 -0.3030 5.8785 Pt
11.6603 -0.0565 8.8165 Pt

AlCrAg2 (PBE-GGA, relaxed); symmetry = F-43m (216); calculated formation energy = 0.183 eV per atom
1.0
4.5527 0.0000 0.0000
2.2764 3.9428 0.0000
2.2764 1.3143 3.7173
Cr Al Ag
1 1 2
Cartesian
6.8291 3.9428 2.7880 Cr
4.5527 2.6285 1.8586 Al
0.0000 0.0000 0.0000 Ag
2.2764 1.3143 0.9293 Ag

Pm3Pr2Ag3 (PBE-GGA, relaxed); symmetry = Immm (71); calculated formation energy = -0.170 eV per atom
1.0
3.7470 0.0000 -0.6035
-0.2039 5.2652 -1.2661
-0.0541 -0.0017 11.5988
Pm Pr Ag
3 2 3
Cartesian
1.3088 2.0050 8.1269 Pm
2.1802 3.2585 1.6023 Pm
1.8735 0.0000 -0.3017 Pm
0.8252 4.0529 5.1239 Pr
2.6638 1.2106 4.6053 Pr
3.0964 4.6621 7.2916 Ag
-0.1020 2.6326 -0.6331 Ag
0.3926 0.6014 2.4376 Ag

PmAsS (PBE-GGA, relaxed); symmetry = Pnma (62); offset from the most stable computed form = 0 meV/atom; energy relative to the elements, uncorrected = -1581 meV/atom
1.0
-1.4582 3.2434 1.7366
-3.2470 -0.3129 -2.1419
-7.2348 -9.8994 12.4137
Pm As S
4 4 4
Cartesian
-8.9535 -7.9320 9.3993 Pm
-5.3851 -2.8734 3.2508 Pm
-2.9864 0.9631 2.6090 Pm
-6.5548 -4.0955 8.7575 Pm
-4.7487 -4.3641 6.0588 As
-1.2474 0.8439 -0.0098 As
-7.1913 -2.6048 5.9496 As
-10.6925 -7.8128 12.0181 As
-7.7463 -6.2674 7.3261 S
-4.1708 -1.2246 1.1691 S
-4.1936 -0.7015 4.6823 S
-7.7692 -5.7443 10.8393 S

Cs2La2CeO6 (PBE-GGA, relaxed); symmetry = C2/m (12); energy relative to the elements, uncorrected = -2828 meV/atom
1.0
6.4020 -0.0101 0.0830
-3.1730 5.5604 0.0830
-1.1267 -1.9367 6.9761
Cs La Ce O
2 2 1 6
Cartesian
4.8061 0.9184 0.0830 Cs
-1.5771 4.6319 0.0830 Cs
-0.5368 2.7306 3.5710 La
2.6391 0.8830 3.5710 La
-0.5634 -0.9683 3.4880 Ce
1.6619 2.8566 4.7082 O
-1.6256 0.7716 4.6061 O
0.4404 0.7570 2.4338 O
1.4742 -1.0318 4.6061 O
3.7279 2.8420 2.5359 O
0.6281 4.6454 2.5359 O

Li3BBr (PBE-GGA, relaxed); symmetry = Pm-3m (221); offset from the most stable computed form = 281 meV/atom; energy relative to the elements, uncorrected = 361 meV/atom
1.0
4.6970 0.0000 0.0000
0.0000 4.6970 0.0000
0.0000 0.0000 4.6970
B Br Li
1 1 3
Cartesian
2.3485 2.3485 2.3485 B
0.0000 0.0000 0.0000 Br
0.0000 2.3485 0.0000 Li
0.0000 0.0000 2.3485 Li
2.3485 0.0000 0.0000 Li

ScAl2Sb (PBE-GGA, relaxed); symmetry = P4mm (99); energy relative to the elements, uncorrected = -262 meV/atom
1.0
3.7930 0.0000 0.0000
0.0000 3.7930 0.0000
0.0000 0.0000 5.7826
Sc Sb Al
1 1 2
Cartesian
1.8965 1.8965 4.2991 Sc
0.0000 0.0000 2.9693 Sb
0.0000 0.0000 0.0657 Al
1.8965 1.8965 1.3398 Al